La3NdBi3 | PBE-GGA | optimized geometry

The offset from the most stable computed form is 0 meV/atom.

abc: 9.8382 9.8382 9.8382
angles: 90.00 90.00 90.00
Last column: nearest neighbours and their distance in Å.
Space group P2_13 (No. 198)
Symmetry-distinct sites (fractional):
La1 0.0697 0.4303 0.5697 (multiplicity 4)  6 Bi 3.29-3.52
La2 0.1782 0.1782 0.1782 (multiplicity 4)  6 Bi 3.28-3.56
La3 0.1778 0.8222 0.3222 (multiplicity 4)  6 Bi 3.29-3.55
Nd1 0.0711 0.5711 0.9289 (multiplicity 4)  6 Bi 3.26-3.53
Bi1 0.0005 0.2523 0.8723 (multiplicity 12)  2 Nd 3.26-3.53, 6 La 3.28-3.56